# 1
La2Pm3Pr6Mg: optimized geometry, GGA-PBE.

Cell lengths 6.3558, 6.3558, 12.1395 Å; angles 95.07, 95.07, 120.04 degrees
With the nearest neighbours (Å) after each atom.
Sites, in units of the cell vectors:
La  0.3326  0.6674  0.0000  3 La 3.66-3.69, 3 Mg 3.66-3.67, 6 Pr 3.66-3.68
La  0.6674  0.3326  0.0000  3 La 3.66-3.69, 3 Mg 3.66-3.67, 6 Pr 3.66-3.68
Pm  0.1668  0.8332  0.5000  6 Pr 3.64-3.67, 6 Pm 3.67
Pm  0.8332  0.1668  0.5000  6 Pr 3.64-3.67, 6 Pm 3.67
Pm  0.5000  0.5000  0.5000  6 Pr 3.65-3.66, 6 Pm 3.67
Pr  0.9177  0.5884  0.7499  6 Pr 3.63-3.69, 1 Mg 3.64, 3 Pm 3.65-3.67, 2 La 3.66-3.68
Pr  0.7530  0.7530  0.2514  6 Pr 3.63-3.69, 3 Pm 3.64-3.66, 1 Mg 3.67, 2 La 3.68
Pr  0.0823  0.4116  0.2501  6 Pr 3.63-3.69, 1 Mg 3.64, 3 Pm 3.65-3.67, 2 La 3.66-3.68
Pr  0.5884  0.9177  0.7499  6 Pr 3.63-3.69, 1 Mg 3.64, 3 Pm 3.65-3.67, 2 La 3.66-3.68
Pr  0.2470  0.2470  0.7486  6 Pr 3.63-3.69, 3 Pm 3.64-3.66, 1 Mg 3.67, 2 La 3.68
Pr  0.4116  0.0823  0.2501  6 Pr 3.63-3.69, 1 Mg 3.64, 3 Pm 3.65-3.67, 2 La 3.66-3.68
Mg  0.0000  0.0000  0.0000  6 Pr 3.64-3.67, 6 La 3.66-3.67

Calculated values
M_tot: 0.00 μB/f.u.
Raw total energy: -4.52 eV/atom
SG: No. 12
Crystal system: monoclinic

***

# 2
La2PmPr5Mg: optimized geometry, GGA-PBE.

Cell lengths 5.6979, 10.6107, 10.9541 Å; angles 90.00, 90.00, 105.58 degrees
With the nearest neighbours (Å) after each atom.
Sites, in units of the cell vectors:
La  0.8838  0.7676  0.8001  9 Pr 3.49-3.82, 1 Pm 3.62
La  0.1159  0.2318  0.7168  9 Pr 3.50-3.81, 1 Pm 3.62
La  0.1162  0.2324  0.3001  9 Pr 3.49-3.82, 1 Pm 3.62
La  0.8841  0.7682  0.2168  9 Pr 3.50-3.81, 1 Pm 3.62
Pm  0.8004  0.6007  0.5081  2 Mg 3.56, 8 Pr 3.58-3.79, 2 La 3.62
Pm  0.1996  0.3993  0.0081  2 Mg 3.56, 8 Pr 3.58-3.79, 2 La 3.62
Pr  0.3808  0.7617  0.0084  4 La 3.65, 6 Pr 3.66-3.94, 1 Pm 3.70
Pr  0.7129  0.4259  0.8115  1 Mg 3.23, 2 Pr 3.43, 1 La 3.49, 2 Pm 3.58
Pr  0.4997  0.9994  0.7582  2 Mg 3.36, 2 Pr 3.66-3.67, 4 La 3.73-3.74
Pr  0.2870  0.5740  0.7046  1 Mg 3.24, 2 Pr 3.43, 1 La 3.50, 2 Pm 3.58
Pr  0.9859  0.9718  0.5083  2 Mg 3.29, 2 La 3.50-3.51
Pr  0.6192  0.2383  0.5084  4 La 3.65, 6 Pr 3.66-3.94, 1 Pm 3.70
Pr  0.2871  0.5741  0.3115  1 Mg 3.23, 2 Pr 3.43, 1 La 3.49, 2 Pm 3.58
Pr  0.5003  0.0006  0.2582  2 Mg 3.36, 2 Pr 3.66-3.67, 4 La 3.73-3.74
Pr  0.7130  0.4260  0.2046  1 Mg 3.24, 2 Pr 3.43, 1 La 3.50, 2 Pm 3.58
Pr  0.0141  0.0282  0.0083  2 Mg 3.29, 2 La 3.50-3.51
Mg  0.5950  0.1899  0.0079  6 Pr 3.23-3.36, 2 Pm 3.56
Mg  0.4050  0.8101  0.5079  6 Pr 3.23-3.36, 2 Pm 3.56

Calculated values
M_tot: 0.00 μB/f.u.
Raw total energy: -4.38 eV/atom
SG: No. 36
Crystal system: orthorhombic

***

# 3
La2Pm6Pr3Mg: optimized geometry, GGA-PBE.

Cell lengths 6.3217, 6.3217, 12.1129 Å; angles 95.05, 95.05, 120.03 degrees
With the nearest neighbours (Å) after each atom.
Sites, in units of the cell vectors:
La  0.3322  0.6678  0.0000  6 Pm 3.63-3.66, 3 La 3.64-3.67, 3 Mg 3.64-3.65
La  0.6678  0.3322  0.0000  6 Pm 3.63-3.66, 3 La 3.64-3.67, 3 Mg 3.64-3.65
Pm  0.9183  0.5887  0.7515  6 Pm 3.61-3.67, 1 Mg 3.62, 2 La 3.63-3.65, 3 Pr 3.66-3.68
Pm  0.7522  0.7522  0.2496  6 Pm 3.61-3.67, 1 Mg 3.64, 3 Pr 3.65-3.67, 2 La 3.66
Pm  0.0817  0.4113  0.2485  6 Pm 3.61-3.67, 1 Mg 3.62, 2 La 3.63-3.65, 3 Pr 3.66-3.68
Pm  0.5887  0.9183  0.7515  6 Pm 3.61-3.67, 1 Mg 3.62, 2 La 3.63-3.65, 3 Pr 3.66-3.68
Pm  0.2478  0.2478  0.7504  6 Pm 3.61-3.67, 1 Mg 3.64, 3 Pr 3.65-3.67, 2 La 3.66
Pm  0.4113  0.0817  0.2485  6 Pm 3.61-3.67, 1 Mg 3.62, 2 La 3.63-3.65, 3 Pr 3.66-3.68
Pr  0.1668  0.8332  0.5000  6 Pr 3.65, 6 Pm 3.65-3.68
Pr  0.8332  0.1668  0.5000  6 Pr 3.65, 6 Pm 3.65-3.68
Pr  0.5000  0.5000  0.5000  6 Pr 3.65, 6 Pm 3.66-3.67
Mg  0.0000  0.0000  0.0000  6 Pm 3.62-3.64, 6 La 3.64-3.65

Calculated values
M_tot: 0.00 μB/f.u.
Raw total energy: -4.51 eV/atom
SG: No. 12
Crystal system: monoclinic

***

# 4
La5Pm2PrMg: optimized geometry, GGA-PBE.

Cell lengths 5.6996, 10.5324, 11.1170 Å; angles 90.00, 90.00, 105.70 degrees
With the nearest neighbours (Å) after each atom.
Sites, in units of the cell vectors:
La  0.3799  0.7597  0.0082  6 La 3.69-3.89, 4 Pm 3.69, 1 Pr 3.79
La  0.7131  0.4263  0.8081  1 Mg 3.27, 2 La 3.41, 3 Pm 3.49-3.61, 2 Pr 3.64
La  0.4998  0.9997  0.7575  2 Mg 3.37, 2 La 3.69-3.70, 4 Pm 3.71-3.72
La  0.2880  0.5761  0.7094  1 Mg 3.28, 2 La 3.41, 3 Pm 3.50-3.60, 2 Pr 3.64
La  0.9895  0.9790  0.5082  2 Mg 3.32, 2 Pm 3.46-3.47, 1 Pr 3.70
La  0.6201  0.2403  0.5082  6 La 3.69-3.89, 4 Pm 3.69, 1 Pr 3.79
La  0.2869  0.5737  0.3081  1 Mg 3.27, 2 La 3.41, 3 Pm 3.49-3.61, 2 Pr 3.64
La  0.5002  0.0003  0.2575  2 Mg 3.37, 2 La 3.69-3.70, 4 Pm 3.71-3.72
La  0.7120  0.4239  0.2094  1 Mg 3.28, 2 La 3.41, 3 Pm 3.50-3.60, 2 Pr 3.64
La  0.0105  0.0210  0.0082  2 Mg 3.32, 2 Pm 3.46-3.47, 1 Pr 3.70
Pm  0.8850  0.7700  0.7972  9 La 3.46-3.85, 1 Pr 3.58
Pm  0.1157  0.2314  0.7195  9 La 3.47-3.85, 1 Pr 3.58
Pm  0.1150  0.2300  0.2972  9 La 3.46-3.85, 1 Pr 3.58
Pm  0.8843  0.7686  0.2195  9 La 3.47-3.85, 1 Pr 3.58
Pr  0.8068  0.6137  0.5088  2 Mg 3.49, 2 Pm 3.58, 8 La 3.64-3.84
Pr  0.1932  0.3863  0.0088  2 Mg 3.49, 2 Pm 3.58, 8 La 3.64-3.84
Mg  0.5940  0.1881  0.0070  6 La 3.27-3.37, 2 Pr 3.49
Mg  0.4060  0.8119  0.5070  6 La 3.27-3.37, 2 Pr 3.49

Calculated values
M_tot: 0.00 μB/f.u.
Raw total energy: -4.43 eV/atom
SG: No. 36
Crystal system: orthorhombic

***

# 5
La2Pm2Pr6Mg: optimized geometry, GGA-PBE.

Cell lengths 6.2220, 6.2220, 11.9547 Å; angles 94.54, 94.54, 119.10 degrees
With the nearest neighbours (Å) after each atom.
Sites, in units of the cell vectors:
La  0.8262  0.1738  0.0000  3 La 3.55-3.73, 6 Pr 3.59-3.68
La  0.1738  0.8262  0.0000  3 La 3.55-3.73, 6 Pr 3.59-3.68
Pm  0.3330  0.6670  0.5000  3 Mg 3.57-3.63, 3 Pm 3.58-3.62, 6 Pr 3.59-3.61
Pm  0.6670  0.3330  0.5000  3 Mg 3.57-3.63, 3 Pm 3.58-3.62, 6 Pr 3.59-3.61
Pr  0.7491  0.7491  0.7487  6 Pr 3.57-3.63, 1 Mg 3.58, 2 Pm 3.61, 2 La 3.68
Pr  0.0806  0.4054  0.7476  6 Pr 3.48-3.67, 1 Mg 3.57, 2 Pm 3.59-3.61, 2 La 3.59-3.65
Pr  0.2509  0.2509  0.2513  6 Pr 3.57-3.63, 1 Mg 3.58, 2 Pm 3.61, 2 La 3.68
Pr  0.4054  0.0806  0.7476  6 Pr 3.48-3.67, 1 Mg 3.57, 2 Pm 3.59-3.61, 2 La 3.59-3.65
Pr  0.9194  0.5946  0.2524  6 Pr 3.48-3.67, 1 Mg 3.57, 2 Pm 3.59-3.61, 2 La 3.59-3.65
Pr  0.5946  0.9194  0.2524  6 Pr 3.48-3.67, 1 Mg 3.57, 2 Pm 3.59-3.61, 2 La 3.59-3.65
Mg  0.0000  0.0000  0.5000  6 Pr 3.57-3.58, 6 Pm 3.57-3.63

Calculated values
M_tot: 0.00 μB/f.u.
Raw total energy: -4.35 eV/atom
SG: No. 12
Crystal system: monoclinic

***

# 6
LaPm5Pr2Mg: optimized geometry, GGA-PBE.

Cell lengths 5.6240, 10.5253, 10.9112 Å; angles 90.00, 90.00, 105.50 degrees
With the nearest neighbours (Å) after each atom.
Sites, in units of the cell vectors:
La  0.7979  0.5957  0.5082  8 Pm 3.56-3.83, 2 Mg 3.57, 2 Pr 3.64
La  0.2021  0.4043  0.0082  8 Pm 3.56-3.83, 2 Mg 3.57, 2 Pr 3.64
Pm  0.3841  0.7681  0.0083  6 Pm 3.60-3.84, 4 Pr 3.62, 1 La 3.69
Pm  0.7103  0.4207  0.8080  1 Mg 3.22, 2 Pm 3.42, 3 Pr 3.54-3.55, 2 La 3.56
Pm  0.4999  0.9999  0.7582  2 Mg 3.33, 2 Pm 3.60, 4 Pr 3.68
Pm  0.2897  0.5794  0.7084  1 Mg 3.22, 2 Pm 3.42, 3 Pr 3.54-3.55, 2 La 3.56
Pm  0.9868  0.9735  0.5082  2 Mg 3.25, 2 Pr 3.46
Pm  0.6159  0.2319  0.5083  6 Pm 3.60-3.84, 4 Pr 3.62, 1 La 3.69
Pm  0.2897  0.5793  0.3080  1 Mg 3.22, 2 Pm 3.42, 3 Pr 3.54-3.55, 2 La 3.56
Pm  0.5001  0.0001  0.2582  2 Mg 3.33, 2 Pm 3.60, 4 Pr 3.68
Pm  0.7103  0.4206  0.2084  1 Mg 3.22, 2 Pm 3.42, 3 Pr 3.54-3.55, 2 La 3.56
Pm  0.0132  0.0265  0.0082  2 Mg 3.25, 2 Pr 3.46
Pr  0.8848  0.7696  0.7997  9 Pm 3.46-3.79, 1 La 3.64
Pr  0.1152  0.2303  0.7168  9 Pm 3.46-3.79, 1 La 3.64
Pr  0.1152  0.2304  0.2997  9 Pm 3.46-3.79, 1 La 3.64
Pr  0.8848  0.7697  0.2168  9 Pm 3.46-3.79, 1 La 3.64
Mg  0.5938  0.1876  0.0081  6 Pm 3.22-3.33, 2 La 3.57
Mg  0.4062  0.8124  0.5081  6 Pm 3.22-3.33, 2 La 3.57

Calculated values
M_tot: 0.00 μB/f.u.
Raw total energy: -4.34 eV/atom
SG: No. 63
Crystal system: orthorhombic

***

# 7
LaPm2Pr4Mg: optimized geometry, GGA-PBE.

Cell lengths 5.9830, 9.6944, 5.9813 Å; angles 51.89, 90.00, 90.00 degrees
With the nearest neighbours (Å) after each atom.
Sites, in units of the cell vectors:
La  0.5000  0.5000  0.0000  8 Pr 3.49-3.50, 2 Pm 3.81
Pm  0.0000  0.0000  0.0000  8 Pr 3.60, 2 Mg 3.81
Pm  0.5000  0.0000  0.5000  8 Pr 3.60, 2 La 3.81
Pr  0.0000  0.7376  0.7622  2 Mg 3.50, 2 La 3.50, 4 Pm 3.60, 1 Pr 3.62
Pr  0.0000  0.2624  0.2378  2 Mg 3.50, 2 La 3.50, 4 Pm 3.60, 1 Pr 3.62
Pr  0.5000  0.7372  0.2623  2 La 3.49-3.50, 2 Mg 3.50, 4 Pm 3.60, 1 Pr 3.62
Pr  0.5000  0.2628  0.7377  2 La 3.49-3.50, 2 Mg 3.50, 4 Pm 3.60, 1 Pr 3.62
Mg  0.0000  0.5000  0.5000  8 Pr 3.50, 2 Pm 3.81

Calculated values
M_tot: 0.00 μB/f.u.
Raw total energy: -4.32 eV/atom
SG: No. 123
Crystal system: tetragonal

***

# 8
La2PmPr6Mg: optimized geometry, GGA-PBE.

Cell lengths 9.6566, 8.7644, 8.7644 Å; angles 105.01, 96.14, 96.14 degrees
With the nearest neighbours (Å) after each atom.
Sites, in units of the cell vectors:
La  0.4074  0.7965  0.7340  2 Pm 3.45-3.82, 6 Pr 3.47-3.80, 1 Mg 3.48
La  0.0926  0.2660  0.2035  2 Pm 3.45-3.82, 6 Pr 3.47-3.80, 1 Mg 3.48
La  0.5926  0.2035  0.2660  2 Pm 3.45-3.82, 6 Pr 3.47-3.80, 1 Mg 3.48
La  0.9074  0.7340  0.7965  2 Pm 3.45-3.82, 6 Pr 3.47-3.80, 1 Mg 3.48
Pm  0.2500  0.9302  0.0698  2 Pr 3.32, 2 La 3.45
Pm  0.7500  0.0698  0.9302  2 Pr 3.32, 2 La 3.45
Pr  0.0767  0.0789  0.7349  3 Pr 3.40-3.58, 1 La 3.47, 1 Mg 3.65, 2 Pm 3.75-3.81
Pr  0.4233  0.2651  0.9211  3 Pr 3.40-3.58, 1 La 3.47, 1 Mg 3.65, 2 Pm 3.75-3.81
Pr  0.9233  0.9211  0.2651  3 Pr 3.40-3.58, 1 La 3.47, 1 Mg 3.65, 2 Pm 3.75-3.81
Pr  0.5767  0.7349  0.0789  3 Pr 3.40-3.58, 1 La 3.47, 1 Mg 3.65, 2 Pm 3.75-3.81
Pr  0.3265  0.0340  0.4650  1 Mg 3.31, 1 Pm 3.32, 3 Pr 3.48-3.61, 2 La 3.61-3.65
Pr  0.1735  0.5350  0.9660  1 Mg 3.31, 1 Pm 3.32, 3 Pr 3.48-3.61, 2 La 3.61-3.65
Pr  0.6735  0.9660  0.5350  1 Mg 3.31, 1 Pm 3.32, 3 Pr 3.48-3.61, 2 La 3.61-3.65
Pr  0.8265  0.4650  0.0340  1 Mg 3.31, 1 Pm 3.32, 3 Pr 3.48-3.61, 2 La 3.61-3.65
Pr  0.0951  0.6705  0.4302  2 Mg 3.29-3.49, 3 Pr 3.35-3.61, 2 La 3.58-3.67
Pr  0.4049  0.5698  0.3295  2 Mg 3.29-3.49, 3 Pr 3.35-3.61, 2 La 3.58-3.67
Pr  0.9049  0.3295  0.5698  2 Mg 3.29-3.49, 3 Pr 3.35-3.61, 2 La 3.58-3.67
Pr  0.5951  0.4302  0.6705  2 Mg 3.29-3.49, 3 Pr 3.35-3.61, 2 La 3.58-3.67
Mg  0.2500  0.4003  0.5997  8 Pr 3.29-3.65, 2 La 3.48
Mg  0.7500  0.5997  0.4003  8 Pr 3.29-3.65, 2 La 3.48

Calculated values
M_tot: 0.00 μB/f.u.
Raw total energy: -4.39 eV/atom
SG: No. 15
Crystal system: monoclinic

***

# 9
LaPmPr2Mg: optimized geometry, GGA-PBE.

Cell lengths 7.0158, 7.8528, 6.1941 Å; angles 90.00, 90.00, 90.00 degrees
With the nearest neighbours (Å) after each atom.
Sites, in units of the cell vectors:
La  0.5914  0.0000  0.2500  2 Pr 3.07, 2 Mg 3.26, 2 La 3.35
La  0.4086  0.0000  0.7500  2 Pr 3.07, 2 Mg 3.26, 2 La 3.35
Pm  0.1664  0.5000  0.7500  6 Pr 3.63, 2 Pm 3.88
Pm  0.8336  0.5000  0.2500  6 Pr 3.63, 2 Pm 3.88
Pr  0.7068  0.7130  0.7500  1 La 3.07, 1 Pr 3.35, 2 Mg 3.42
Pr  0.7068  0.2870  0.7500  1 La 3.07, 1 Pr 3.35, 2 Mg 3.42
Pr  0.2932  0.7130  0.2500  1 La 3.07, 1 Pr 3.35, 2 Mg 3.42
Pr  0.2932  0.2870  0.2500  1 La 3.07, 1 Pr 3.35, 2 Mg 3.42
Mg  0.0000  0.0000  0.0000  2 Mg 3.10, 2 La 3.26, 4 Pr 3.42
Mg  0.0000  0.0000  0.5000  2 Mg 3.10, 2 La 3.26, 4 Pr 3.42

Calculated values
M_tot: 0.00 μB/f.u.
Raw total energy: -4.03 eV/atom
SG: No. 51
Crystal system: orthorhombic

***

# 10
La2PmPr2Mg: optimized geometry, GGA-PBE.

Cell lengths 7.0103, 6.5281, 10.2824 Å; angles 108.51, 109.93, 90.00 degrees
With the nearest neighbours (Å) after each atom.
Sites, in units of the cell vectors:
La  0.3136  0.1510  0.3020  2 Pm 3.39, 5 Pr 3.42-3.59
La  0.6864  0.8490  0.6980  2 Pm 3.39, 5 Pr 3.42-3.59
La  0.0115  0.3490  0.6980  2 Pm 3.39, 5 Pr 3.42-3.59
La  0.9885  0.6510  0.3020  2 Pm 3.39, 5 Pr 3.42-3.59
Pm  0.0000  0.7500  0.0000  2 Pm 3.26, 4 La 3.39, 2 Mg 3.51
Pm  0.0000  0.2500  0.0000  2 Pm 3.26, 4 La 3.39, 2 Mg 3.51
Pr  0.8023  0.1519  0.3038  2 Mg 3.38, 5 La 3.42-3.59
Pr  0.5015  0.6519  0.3038  2 Mg 3.38, 5 La 3.42-3.59
Pr  0.4985  0.3481  0.6962  2 Mg 3.38, 5 La 3.42-3.59
Pr  0.1977  0.8481  0.6962  2 Mg 3.38, 5 La 3.42-3.59
Mg  0.5000  0.7500  0.0000  2 Mg 3.26, 4 Pr 3.38, 2 Pm 3.51
Mg  0.5000  0.2500  0.0000  2 Mg 3.26, 4 Pr 3.38, 2 Pm 3.51

Calculated values
M_tot: 0.00 μB/f.u.
Raw total energy: -4.14 eV/atom
SG: No. 72
Crystal system: orthorhombic